# 1
Below is a geometry-optimized LiNd3Sn12 structure, with properties calculated at the GGA-PBE level.

abc: 4.7091 4.7091 19.2485
angles: 90.00 90.00 90.00
Closest atoms and distances in Å follow each position.
Space group P4/mmm (No. 123)
One atom of each set of equivalent atoms:
Li (0.0000, 0.0000, 0.0000)  12 Sn 3.27-3.33
Nd (0.0000, 0.0000, 0.2510)  12 Sn 3.33-3.48
Nd (0.0000, 0.0000, 0.5000)  12 Sn 3.33-3.39
Sn (0.0000, 0.5000, 0.1177)  8 Sn 3.27-3.37, 2 Li 3.27, 2 Nd 3.48
Sn (0.0000, 0.5000, 0.3735)  8 Sn 3.33-3.44, 4 Nd 3.33-3.39
Sn (0.5000, 0.5000, 0.0000)  8 Sn 3.27, 4 Li 3.33
Sn (0.5000, 0.5000, 0.2431)  4 Nd 3.33, 8 Sn 3.37-3.44
Sn (0.5000, 0.5000, 0.5000)  4 Nd 3.33, 8 Sn 3.39

## Properties
VASP energy	-4.43	eV/atom
energy of formation	-0.41	eV/atom
N(E_F)	7.6	states/eV/cell
size of the total moment	0.00	μB/atom

# 2
Below is a geometry-optimized Ho4InHg2Ru structure, with properties calculated at the GGA-PBE level.

abc: 5.1596 5.1596 24.9909
angles: 90.00 90.00 120.00
Closest atoms and distances in Å follow each position.
Space group R-3m (No. 166, hexagonal axes)
One atom of each set of equivalent atoms:
Ho (0.0000, 0.0000, 0.1129)  1 Ru 2.82, 3 Hg 3.02
Ho (0.0000, 0.0000, 0.3672)  3 Ru 3.10, 4 Hg 3.16-3.32, 1 In 3.32, 3 Ho 3.43
In (0.0000, 0.0000, 0.5000)  8 Ho 3.27-3.32, 6 Hg 3.51
Hg (0.0000, 0.0000, 0.2409)  8 Ho 3.02-3.32
Ru (0.0000, 0.0000, 0.0000)  8 Ho 2.82-3.10

## Properties
VASP energy	-4.33	eV/atom
energy of formation	-0.46	eV/atom
N(E_F)	13.5	states/eV/cell
size of the total moment	0.00	μB/atom

# 3
Below is a geometry-optimized PrEr6Zn2 structure, with properties calculated at the GGA-PBE level.

abc: 12.4053 3.6085 11.6951
angles: 90.00 108.44 90.00
Closest atoms and distances in Å follow each position.
Space group C2/m (No. 12)
One atom of each set of equivalent atoms:
Pr (0.0000, 0.0000, 0.0000)  4 Zn 3.20
Er (0.0213, 0.0000, 0.3349)  2 Zn 3.05
Er (0.1872, 0.5000, 0.5867)  2 Zn 3.09, 4 Er 3.34-3.44
Er (0.1907, 0.5000, 0.8733)  2 Zn 3.06, 3 Er 3.34-3.38
Zn (0.1537, 0.5000, 0.2170)  6 Er 3.05-3.09, 2 Pr 3.20

## Properties
VASP energy	-3.99	eV/atom
energy of formation	-0.14	eV/atom
N(E_F)	21.1	states/eV/cell
size of the total moment	0.00	μB/atom

# 4
Below is a geometry-optimized YGa2NiRh structure, with properties calculated at the GGA-PBE level.

abc: 4.0712 4.0712 10.4387
angles: 90.00 90.00 90.00
Closest atoms and distances in Å follow each position.
Space group I-4m2 (No. 119)
One atom of each set of equivalent atoms:
Y (0.0000, 0.0000, 0.0000)  8 Ga 3.15, 4 Ni 3.31, 4 Rh 3.31
Ga (0.0000, 0.0000, 0.3780)  2 Ni 2.44, 2 Rh 2.44, 1 Ga 2.55
Ni (0.0000, 0.5000, 0.7500)  4 Ga 2.44
Rh (0.0000, 0.5000, 0.2500)  4 Ga 2.44

## Properties
VASP energy	-5.80	eV/atom
energy of formation	-0.67	eV/atom
N(E_F)	5.3	states/eV/cell
size of the total moment	0.00	μB/atom

# 5
Below is a geometry-optimized BeTcCl3 structure, with properties calculated at the GGA-PBE level.

abc: 4.5427 4.5427 4.5427
angles: 90.00 90.00 90.00
Closest atoms and distances in Å follow each position.
Space group Pm-3m (No. 221)
One atom of each set of equivalent atoms:
Be (0.0000, 0.0000, 0.0000)  6 Cl 2.27
Tc (0.5000, 0.5000, 0.5000)  12 Cl 3.21
Cl (0.0000, 0.0000, 0.5000)  2 Be 2.27

## Properties
VASP energy	-3.78	eV/atom
relative energy among the computed polymorphs	0.000	eV/atom
uncorrected formation energy	143	meV/atom
N(E_F)	4.6	states/eV/cell
size of the total moment	0.88	μB/atom

# 6
Below is a geometry-optimized YPaTeO6 structure, with properties calculated at the GGA-PBE level.

abc: 5.6793 5.6793 9.5923
angles: 90.00 90.00 120.00
Closest atoms and distances in Å follow each position.
Space group P-31c (No. 163)
One atom of each set of equivalent atoms:
Y (0.3333, 0.6667, 0.2500)  6 O 2.29
Pa (0.0000, 0.0000, 0.0000)  6 O 2.22
Te (0.3333, 0.6667, 0.7500)  6 O 2.20
O (0.0122, 0.3301, 0.6285)  1 Te 2.20, 1 Pa 2.22, 1 Y 2.29

## Properties
VASP energy	-8.05	eV/atom
uncorrected formation energy	-2620	meV/atom
N(E_F)	0.0	states/eV/cell
size of the total moment	0.00	μB/atom

# 7
Below is a geometry-optimized Cs2YRuI6 structure, with properties calculated at the GGA-PBE level.

abc: 8.2960 8.2960 11.7092
angles: 90.00 90.00 90.00
Closest atoms and distances in Å follow each position.
Space group I4/mmm (No. 139)
One atom of each set of equivalent atoms:
Cs (0.0000, 0.5000, 0.2500)  12 I 4.15
Y (0.0000, 0.0000, 0.0000)  6 I 3.04-3.05
Ru (0.0000, 0.0000, 0.5000)  6 I 2.81-2.82
I (0.0000, 0.0000, 0.2600)  1 Ru 2.81, 1 Y 3.04
I (0.2403, 0.2403, 0.5000)  1 Ru 2.82, 1 Y 3.05

## Properties
VASP energy	-3.59	eV/atom
uncorrected formation energy	-916	meV/atom
N(E_F)	7.5	states/eV/cell
size of the total moment	0.10	μB/atom

# 8
Below is a geometry-optimized TcI3F structure, with properties calculated at the GGA-PBE level.

abc: 5.3079 5.3079 5.3079
angles: 90.00 90.00 90.00
Closest atoms and distances in Å follow each position.
Space group Pm-3m (No. 221)
One atom of each set of equivalent atoms:
Tc (0.0000, 0.0000, 0.0000)  12 I 3.75
I (0.0000, 0.5000, 0.5000)  2 F 2.65
F (0.5000, 0.5000, 0.5000)  6 I 2.65

## Properties
VASP energy	-2.53	eV/atom
relative energy among the computed polymorphs	0.650	eV/atom
uncorrected formation energy	851	meV/atom
N(E_F)	8.1	states/eV/cell
size of the total moment	1.08	μB/atom

# 9
Below is a geometry-optimized HoHf2Pd7 structure, with properties calculated at the GGA-PBE level.

abc: 5.7283 7.8060 16.9526
angles: 90.00 90.00 90.00
Closest atoms and distances in Å follow each position.
Space group Fmmm (No. 69)
One atom of each set of equivalent atoms:
Ho (0.0000, 0.0000, 0.0000)  10 Pd 2.85-2.86
Hf (0.0000, 0.0000, 0.3306)  9 Pd 2.78-2.87
Pd (0.0000, 0.0000, 0.5000)  8 Pd 2.85, 2 Ho 2.86, 2 Hf 2.87
Pd (0.2500, 0.2500, 0.0886)  6 Pd 2.74-3.00, 2 Hf 2.78, 2 Ho 2.85
Pd (0.2500, 0.2500, 0.2500)  4 Pd 2.74-2.86, 4 Hf 2.78

## Properties
VASP energy	-6.70	eV/atom
energy of formation	-0.62	eV/atom
N(E_F)	22.4	states/eV/cell
size of the total moment	0.00	μB/atom

# 10
Below is a geometry-optimized Li7CdAg3 structure, with properties calculated at the GGA-PBE level.

abc: 2.9486 21.5402 12.4593
angles: 90.00 90.00 90.00
Closest atoms and distances in Å follow each position.
Space group Cmcm (No. 63)
One atom of each set of equivalent atoms:
Li (0.0000, 0.0477, 0.0779)  4 Li 2.73-2.95, 2 Ag 2.73, 2 Cd 2.78
Li (0.0000, 0.0915, 0.6273)  4 Ag 2.72-2.84, 4 Li 2.73-3.04, 2 Cd 2.93
Li (0.0000, 0.1497, 0.2500)  4 Li 2.95-3.07, 4 Ag 3.03
Li (0.0000, 0.2321, 0.6038)  5 Ag 2.64-2.88, 2 Li 2.95
Cd (0.0000, 0.4979, 0.7500)  8 Li 2.78-2.93, 2 Cd 2.95
Ag (0.0000, 0.3295, 0.2500)  8 Li 2.69-2.72, 2 Ag 2.95
Ag (0.0000, 0.3484, 0.5373)  7 Li 2.64-2.88, 2 Ag 2.95

## Properties
VASP energy	-2.22	eV/atom
relative energy among the computed polymorphs	0.000	eV/atom
energy of formation	-0.14	eV/atom
N(E_F)	16.4	states/eV/cell
size of the total moment	0.00	μB/atom

# 11
Below is a geometry-optimized V4Fe3Rh structure, with properties calculated at the GGA-PBE level.

abc: 4.0894 4.0894 5.9857
angles: 90.00 90.00 90.00
Closest atoms and distances in Å follow each position.
Space group P4/mmm (No. 123)
One atom of each set of equivalent atoms:
V (0.0000, 0.5000, 0.2373)  6 Fe 2.49-2.58, 2 Rh 2.58
Fe (0.0000, 0.0000, 0.0000)  8 V 2.49
Fe (0.0000, 0.0000, 0.5000)  8 V 2.58
Fe (0.5000, 0.5000, 0.0000)  8 V 2.49
Rh (0.5000, 0.5000, 0.5000)  8 V 2.58

## Properties
VASP energy	-8.77	eV/atom
energy of formation	-0.12	eV/atom
N(E_F)	11.0	states/eV/cell
size of the total moment	0.38	μB/atom

# 12
Below is a geometry-optimized LiHgBi structure, with properties calculated at the GGA-PBE level.

abc: 3.4385 5.5124 8.2003
angles: 75.12 78.94 89.75
Closest atoms and distances in Å follow each position.
Space group P-1 (No. 2)
One atom of each set of equivalent atoms:
Li (0.0894, 0.2727, 0.3171)  3 Hg 2.94-3.23, 6 Bi 3.16-3.28
Hg (0.2606, 0.7438, 0.9808)  3 Li 2.94-3.23, 2 Hg 3.12-3.15, 1 Bi 3.27
Bi (0.4304, 0.2405, 0.6525)  6 Li 3.16-3.28, 3 Bi 3.25-3.44, 3 Hg 3.27-3.48

## Properties
VASP energy	-2.26	eV/atom
energy of formation	-0.23	eV/atom
N(E_F)	1.7	states/eV/cell
size of the total moment	0.00	μB/atom

# 13
Below is a geometry-optimized TcNiP2Se structure, with properties calculated at the GGA-PBE level.

abc: 2.9863 3.1413 17.8652
angles: 90.00 90.00 90.00
Closest atoms and distances in Å follow each position.
Space group Amm2 (No. 38)
One atom of each set of equivalent atoms:
Tc (0.0000, 0.0000, 0.0000)  6 P 2.39-2.45
Ni (0.0000, 0.0000, 0.6376)  4 P 2.25, 1 Se 2.34
P (0.5000, 0.0000, 0.1044)  4 Ni 2.25, 2 Tc 2.39
P (0.5000, 0.0000, 0.4362)  4 Tc 2.45
Se (0.0000, 0.0000, 0.7688)  1 Ni 2.34

## Properties
VASP energy	-6.29	eV/atom
relative energy among the computed polymorphs	0.090	eV/atom
uncorrected formation energy	-201	meV/atom
N(E_F)	4.4	states/eV/cell
size of the total moment	0.00	μB/atom

# 14
Below is a geometry-optimized CaMgSb2 structure, with properties calculated at the GGA-PBE level.

abc: 4.2720 4.2720 6.2372
angles: 90.00 90.00 90.00
Closest atoms and distances in Å follow each position.
Space group P4mm (No. 99)
One atom of each set of equivalent atoms:
Ca (0.0000, 0.0000, 0.0000)  6 Sb 3.10-3.14
Mg (0.5000, 0.5000, 0.3667)  6 Sb 3.10-3.14
Sb (0.0000, 0.0000, 0.4975)  2 Ca 3.10-3.13, 4 Mg 3.13
Sb (0.5000, 0.5000, 0.8631)  2 Mg 3.10-3.14, 4 Ca 3.14

## Properties
VASP energy	-3.33	eV/atom
uncorrected formation energy	-369	meV/atom
N(E_F)	2.9	states/eV/cell
size of the total moment	0.00	μB/atom

# 15
Below is a geometry-optimized Tb2SmY7 structure, with properties calculated at the GGA-PBE level.

abc: 8.8214 16.0030 5.6418
angles: 90.00 90.00 90.00
Closest atoms and distances in Å follow each position.
Space group Cmmm (No. 65)
One atom of each set of equivalent atoms:
Tb (0.0000, 0.2032, 0.0000)  7 Y 3.07-3.29
Sm (0.0000, 0.5000, 0.5000)  10 Y 3.54-3.72
Y (0.0000, 0.0000, 0.0000)  2 Tb 3.25, 4 Y 3.40
Y (0.0000, 0.2785, 0.5000)  2 Tb 3.07
Y (0.1774, 0.3841, 0.0000)  2 Y 3.13-3.40, 2 Tb 3.17-3.29

## Properties
VASP energy	-5.23	eV/atom
relative energy among the computed polymorphs	0.482	eV/atom
energy of formation	0.70	eV/atom
N(E_F)	28.3	states/eV/cell
size of the total moment	0.00	μB/atom

# 16
Below is a geometry-optimized SrSb2Au structure, with properties calculated at the GGA-PBE level.

abc: 7.6157 7.6157 7.6157
angles: 90.00 90.00 90.00
Closest atoms and distances in Å follow each position.
Space group F-43m (No. 216)
One atom of each set of equivalent atoms:
Sr (0.0000, 0.0000, 0.0000)  4 Sb 3.30, 4 Au 3.30
Sb (0.0000, 0.0000, 0.5000)  4 Au 3.30, 4 Sb 3.30
Sb (0.2500, 0.2500, 0.2500)  4 Sb 3.30, 4 Sr 3.30
Au (0.2500, 0.2500, 0.7500)  4 Sr 3.30, 4 Sb 3.30

## Properties
VASP energy	-3.62	eV/atom
uncorrected formation energy	-318	meV/atom
N(E_F)	10.3	states/eV/cell
size of the total moment	0.00	μB/atom

# 17
Below is a geometry-optimized Na2Cd5Hg3 structure, with properties calculated at the GGA-PBE level.

abc: 4.9288 27.7778 7.3339
angles: 90.00 90.00 90.00
Closest atoms and distances in Å follow each position.
Space group Cmc2_1 (No. 36)
One atom of each set of equivalent atoms:
Na (0.0000, 0.0196, 0.0000)  5 Hg 3.28-3.33, 6 Cd 3.32-3.65
Na (0.0000, 0.3065, 0.7902)  7 Cd 3.14-3.40, 4 Hg 3.23-3.35
Cd (0.0000, 0.0981, 0.6593)  3 Cd 2.97-3.30, 3 Hg 3.01-3.04, 1 Na 3.32
Cd (0.0000, 0.1956, 0.9735)  4 Hg 2.95-3.04, 3 Cd 3.08-3.21
Cd (0.0000, 0.2012, 0.5534)  4 Hg 2.96-3.18, 2 Cd 2.97-3.08, 2 Na 3.14
Cd (0.0000, 0.3781, 0.4444)  2 Hg 2.95-3.18, 3 Cd 3.13-3.21, 1 Na 3.22
Cd (0.0000, 0.4372, 0.8085)  4 Hg 2.88-2.98, 1 Cd 3.13
Hg (0.0000, 0.1191, 0.2521)  5 Cd 2.95-3.18, 2 Na 3.23
Hg (0.0000, 0.2745, 0.2600)  7 Cd 2.96-3.18
Hg (0.0000, 0.4628, 0.2028)  5 Cd 2.88-3.01

## Properties
VASP energy	-0.91	eV/atom
relative energy among the computed polymorphs	0.000	eV/atom
energy of formation	-0.10	eV/atom
N(E_F)	10.5	states/eV/cell
size of the total moment	0.00	μB/atom

# 18
Below is a geometry-optimized K4Ac3TbS8 structure, with properties calculated at the GGA-PBE level.

abc: 8.6900 8.6900 22.2528
angles: 90.00 90.00 120.00
Closest atoms and distances in Å follow each position.
Space group R-3m (No. 166, hexagonal axes)
One atom of each set of equivalent atoms:
K (0.0000, 0.0000, 0.0000)  6 S 3.41
K (0.0000, 0.5000, 0.0000)  6 S 3.27
Ac (0.0000, 0.5000, 0.5000)  6 S 2.98-3.00
Tb (0.0000, 0.0000, 0.5000)  6 S 2.84
S (0.0000, 0.0000, 0.2389)  3 Ac 2.98, 3 K 3.27
S (0.0164, 0.5082, 0.2361)  1 Tb 2.84, 2 Ac 3.00

## Properties
VASP energy	-5.28	eV/atom
uncorrected formation energy	-1878	meV/atom
N(E_F)	0.0	states/eV/cell
size of the total moment	0.00	μB/atom

# 19
Below is a geometry-optimized PmDy3Ru3 structure, with properties calculated at the GGA-PBE level.

abc: 9.6073 9.6073 5.8505
angles: 90.00 90.00 120.00
Closest atoms and distances in Å follow each position.
Space group R3m (No. 160, hexagonal axes)
One atom of each set of equivalent atoms:
Pm (0.0000, 0.0000, 0.0000)  6 Ru 2.82-3.14
Dy (0.1951, 0.3903, 0.2183)  4 Ru 2.81-3.12
Ru (0.0006, 0.5003, 0.4123)  4 Dy 2.81-3.12, 1 Pm 2.82

## Properties
VASP energy	-6.94	eV/atom
energy of formation	-0.32	eV/atom
N(E_F)	8.9	states/eV/cell
size of the total moment	0.00	μB/atom

# 20
Below is a geometry-optimized TbHfIn structure, with properties calculated at the GGA-PBE level.

abc: 5.7498 8.7497 12.4548
angles: 90.00 90.00 90.00
Closest atoms and distances in Å follow each position.
Space group Fmmm (No. 69)
One atom of each set of equivalent atoms:
Tb (0.0000, 0.1765, 0.0000)  3 Tb 3.09-3.15, 2 In 3.20
Hf (0.2500, 0.2500, 0.2500)  2 Hf 2.87, 4 In 3.08
In (0.0000, 0.0000, 0.3809)  1 In 2.97, 4 Hf 3.08, 2 Tb 3.20

## Properties
VASP energy	-5.67	eV/atom
relative energy among the computed polymorphs	0.257	eV/atom
energy of formation	0.10	eV/atom
N(E_F)	25.0	states/eV/cell
size of the total moment	0.00	μB/atom